Here is an optimized crystal structure of HfI2BrO from Alexandria. Energies are from GGA-PBE.

Lattice parameters (Å, degrees): 6.0685 6.0685 3.7383 90.00 90.00 90.00
Closest atoms and distances in Å follow each position.
Positions (direct):
Hf1 0.0000 0.0000 0.0000  8 I 3.56, 2 Hf 3.74
I1 0.0000 0.5000 0.5000  2 Br 3.03
I2 0.5000 0.0000 0.5000  2 Br 3.03
Br1 0.5000 0.5000 0.5000  2 O 1.87
O1 0.5000 0.5000 0.0000  2 Br 1.87

Calculated values
Excess energy over the best structure of this formula in the dataset, kcal/mol of atoms: 41.490
Crystal system: tetragonal
VASP energy, eV per atom: -3.186

Here is an optimized crystal structure of HfI2BrO from Alexandria. Energies are from GGA-PBE.

Lattice parameters (Å, degrees): 5.8960 5.8960 3.9759 90.00 90.00 90.00
Closest atoms and distances in Å follow each position.
Positions (direct):
Hf1 0.0000 0.0000 0.0000  2 O 1.99
I1 0.0000 0.5000 0.0000  2 Hf 2.95
I2 0.5000 0.0000 0.0000  2 Hf 2.95
Br1 0.5000 0.5000 0.5000  8 I 3.56, 2 Br 3.98
O1 0.0000 0.0000 0.5000  2 Hf 1.99

Calculated values
Excess energy over the best structure of this formula in the dataset, kcal/mol of atoms: 0.000
Crystal system: tetragonal
VASP energy, eV per atom: -4.985

Here is an optimized crystal structure of Rb2HfIBr6 from Alexandria. Energies are from GGA-PBE.

Lattice parameters (Å, degrees): 8.5063 8.5063 8.5063 116.69 116.69 95.84
Closest atoms and distances in Å follow each position.
Positions (direct):
Rb1 0.2500 0.7500 0.5000  12 Br 4.29-4.47
Rb2 0.7500 0.2500 0.5000  12 Br 4.29-4.47
Hf1 0.0000 0.0000 0.0000  6 Br 2.62-2.64
I1 0.5000 0.5000 0.0000  2 Br 3.07
Br1 0.2071 0.2071 0.4142  1 Hf 2.62
Br2 0.2071 0.7929 0.0000  1 Hf 2.62
Br3 0.2312 0.2312 0.0000  1 Hf 2.64
Br4 0.7688 0.7688 0.0000  1 Hf 2.64
Br5 0.7929 0.2071 0.0000  1 Hf 2.62
Br6 0.7929 0.7929 0.5858  1 Hf 2.62

Calculated values
Crystal system: tetragonal
VASP energy, eV per atom: -3.614

Here is an optimized crystal structure of Rb2HfI6Br from Alexandria. Energies are from GGA-PBE.

Lattice parameters (Å, degrees): 8.7885 8.7885 8.7885 116.67 116.67 95.88
Closest atoms and distances in Å follow each position.
Positions (direct):
Rb1 0.2500 0.7500 0.5000  12 I 4.41-4.61
Rb2 0.7500 0.2500 0.5000  12 I 4.41-4.61
Hf1 0.0000 0.0000 0.0000  6 I 2.85-2.88
I1 0.2182 0.2182 0.4364  1 Hf 2.85
I2 0.2182 0.7818 0.0000  1 Hf 2.85
I3 0.2443 0.2443 0.0000  1 Hf 2.88, 1 Br 3.01
I4 0.7557 0.7557 0.0000  1 Hf 2.88, 1 Br 3.01
I5 0.7818 0.2182 0.0000  1 Hf 2.85
I6 0.7818 0.7818 0.5636  1 Hf 2.85
Br1 0.5000 0.5000 0.0000  2 I 3.01

Calculated values
Excess energy over the best structure of this formula in the dataset, kcal/mol of atoms: 2.344
Crystal system: tetragonal
VASP energy, eV per atom: -3.234

Here is an optimized crystal structure of Rb2HfI6Br from Alexandria. Energies are from GGA-PBE.

Lattice parameters (Å, degrees): 8.3270 8.5194 8.9833 68.27 62.99 60.85
Closest atoms and distances in Å follow each position.
Positions (direct):
Rb1 0.0000 0.0000 0.0000  1 Br 3.42
Rb2 0.4877 0.3991 0.5826  1 Br 3.40
Hf1 0.7821 0.6750 0.7523  6 I 2.81-2.91
I1 0.0018 0.4674 0.9734  1 Hf 2.82
I2 0.0382 0.8366 0.4911  1 Hf 2.81
I3 0.4709 0.5439 0.9785  1 Hf 2.91, 1 Br 3.18
I4 0.4945 0.8682 0.5833  1 Hf 2.89, 1 Br 3.20
I5 0.5905 0.9709 0.9297  1 Hf 2.86
I6 0.9582 0.3741 0.5864  1 Hf 2.85
Br1 0.5508 0.2050 0.2802  2 I 3.18-3.20, 2 Rb 3.40-3.42

Calculated values
Excess energy over the best structure of this formula in the dataset, kcal/mol of atoms: 0.000
Crystal system: triclinic
VASP energy, eV per atom: -3.336

Here is an optimized crystal structure of HfSbI2Br from Alexandria. Energies are from GGA-PBE.

Lattice parameters (Å, degrees): 5.5439 5.5439 5.7736 90.00 90.00 90.00
Closest atoms and distances in Å follow each position.
Positions (direct):
Hf1 0.0000 0.0000 0.0000  4 I 2.77, 2 Sb 2.89
Sb1 0.0000 0.0000 0.5000  2 Hf 2.89
I1 0.0000 0.5000 0.0000  2 Hf 2.77
I2 0.5000 0.0000 0.0000  2 Hf 2.77
Br1 0.5000 0.5000 0.5000  4 Sb 3.92, 8 I 4.00

Calculated values
Excess energy over the best structure of this formula in the dataset, kcal/mol of atoms: 0.000
Crystal system: tetragonal
VASP energy, eV per atom: -3.929